(1)
# In2SbPt

In2SbPt after structural relaxation (PBEsol, Alexandria via LeMat-Bulk).

Output
The uncorrected formation energy is -0.14 eV per atom. Its symmetry is Pmm2 (25). Its total magnetic moment is 0.00 μB/f.u. For the volume, the calculation gives 22.13 A^3/atom.

The structure in CIF format:
```
data_In2SbPt
_cell_length_a 3.1718
_cell_length_b 3.3576
_cell_length_c 8.3107
_cell_angle_alpha 90.00
_cell_angle_beta 90.00
_cell_angle_gamma 90.00
_space_group_name_H-M_alt 'P 1'
_space_group_IT_number 1
_space_group_name_Hall 'P 1'
loop_
_atom_site_label
_atom_site_type_symbol
_atom_site_fract_x
_atom_site_fract_y
_atom_site_fract_z
_atom_site_occupancy
In1 In 0.0000 0.0000 0.0000 1
In2 In 0.5000 0.5000 0.2786 1
Sb1 Sb 0.5000 0.5000 0.6819 1
Pt1 Pt 0.0000 0.0000 0.4898 1
```

=====

(2)
# InSiSb2Pt

InSiSb2Pt after structural relaxation (PBEsol, Alexandria via LeMat-Bulk).

Output
The uncorrected formation energy is 0.84 eV per atom. Its symmetry is P4/mmm (123). Its total magnetic moment is 0.00 μB/f.u. For the volume, the calculation gives 24.78 A^3/atom.

The structure in CIF format:
```
data_InSiSb2Pt
_cell_length_a 5.0390
_cell_length_b 5.0390
_cell_length_c 4.8793
_cell_angle_alpha 90.00
_cell_angle_beta 90.00
_cell_angle_gamma 90.00
_space_group_name_H-M_alt 'P 1'
_space_group_IT_number 1
_space_group_name_Hall 'P 1'
loop_
_atom_site_label
_atom_site_type_symbol
_atom_site_fract_x
_atom_site_fract_y
_atom_site_fract_z
_atom_site_occupancy
In1 In 0.0000 0.0000 0.0000 1
Si1 Si 0.0000 0.0000 0.5000 1
Sb1 Sb 0.0000 0.5000 0.5000 1
Sb2 Sb 0.5000 0.0000 0.5000 1
Pt1 Pt 0.5000 0.5000 0.0000 1
```

=====

(3)
# ZnIn2SbPt

ZnIn2SbPt after structural relaxation (PBEsol, Alexandria via LeMat-Bulk).

Output
The uncorrected formation energy is 0.03 eV per atom. Its symmetry is P4/mmm (123). Its total magnetic moment is 0.00 μB/f.u. For the volume, the calculation gives 25.06 A^3/atom.

The structure in CIF format:
```
data_ZnIn2SbPt
_cell_length_a 5.1218
_cell_length_b 5.1218
_cell_length_c 4.7767
_cell_angle_alpha 90.00
_cell_angle_beta 90.00
_cell_angle_gamma 90.00
_space_group_name_H-M_alt 'P 1'
_space_group_IT_number 1
_space_group_name_Hall 'P 1'
loop_
_atom_site_label
_atom_site_type_symbol
_atom_site_fract_x
_atom_site_fract_y
_atom_site_fract_z
_atom_site_occupancy
Zn1 Zn 0.0000 0.0000 0.0000 1
In1 In 0.0000 0.5000 0.5000 1
In2 In 0.5000 0.0000 0.5000 1
Sb1 Sb 0.5000 0.5000 0.0000 1
Pt1 Pt 0.0000 0.0000 0.5000 1
```

=====

(4)
# ScInPt

ScInPt after structural relaxation (PBEsol, Alexandria via LeMat-Bulk).

Output
Its total energy is -0.44272 Ry/atom. Its symmetry is P3m1 (156). Its total magnetic moment is 0.00 μB/f.u. For the volume, the calculation gives 21.33 A^3/atom.

The structure in CIF format:
```
data_ScInPt
_cell_length_a 3.5568
_cell_length_b 3.5568
_cell_length_c 5.8402
_cell_angle_alpha 90.00
_cell_angle_beta 90.00
_cell_angle_gamma 120.00
_space_group_name_H-M_alt 'P 1'
_space_group_IT_number 1
_space_group_name_Hall 'P 1'
loop_
_atom_site_label
_atom_site_type_symbol
_atom_site_fract_x
_atom_site_fract_y
_atom_site_fract_z
_atom_site_occupancy
Sc1 Sc 0.0000 0.0000 0.0000 1
In1 In 0.3333 0.6667 0.5925 1
Pt1 Pt 0.6667 0.3333 0.2757 1
```

=====

(5)
# ScIn2Pt

ScIn2Pt after structural relaxation (PBEsol, Alexandria via LeMat-Bulk).

Output
Its total energy is -0.39371 Ry/atom. Its symmetry is P4/mmm (123). Its total magnetic moment is 0.48 μB/f.u. For the volume, the calculation gives 19.44 A^3/atom.

The structure in CIF format:
```
data_ScIn2Pt
_cell_length_a 3.2731
_cell_length_b 3.2731
_cell_length_c 7.2590
_cell_angle_alpha 90.00
_cell_angle_beta 90.00
_cell_angle_gamma 90.00
_space_group_name_H-M_alt 'P 1'
_space_group_IT_number 1
_space_group_name_Hall 'P 1'
loop_
_atom_site_label
_atom_site_type_symbol
_atom_site_fract_x
_atom_site_fract_y
_atom_site_fract_z
_atom_site_occupancy
Sc1 Sc 0.0000 0.0000 0.0000 1
In1 In 0.5000 0.5000 0.2787 1
In2 In 0.5000 0.5000 0.7213 1
Pt1 Pt 0.0000 0.0000 0.5000 1
```

=====

(6)
# ScInPt2

ScInPt2 after structural relaxation (PBEsol, Alexandria via LeMat-Bulk).

Output
Its total energy is -0.49730 Ry/atom. Its symmetry is P4/mmm (123). Its total magnetic moment is 0.00 μB/f.u. For the volume, the calculation gives 17.23 A^3/atom.

The structure in CIF format:
```
data_ScInPt2
_cell_length_a 3.4208
_cell_length_b 3.4208
_cell_length_c 5.8901
_cell_angle_alpha 90.00
_cell_angle_beta 90.00
_cell_angle_gamma 90.00
_space_group_name_H-M_alt 'P 1'
_space_group_IT_number 1
_space_group_name_Hall 'P 1'
loop_
_atom_site_label
_atom_site_type_symbol
_atom_site_fract_x
_atom_site_fract_y
_atom_site_fract_z
_atom_site_occupancy
Sc1 Sc 0.0000 0.0000 0.0000 1
In1 In 0.0000 0.0000 0.5000 1
Pt1 Pt 0.5000 0.5000 0.2475 1
Pt2 Pt 0.5000 0.5000 0.7525 1
```

=====

(7)
# ScInPt2

ScInPt2 after structural relaxation (PBEsol, Alexandria via LeMat-Bulk).

Output
Its total energy is -0.49643 Ry/atom. Its symmetry is I-4m2 (119). Its total magnetic moment is 0.00 μB/f.u. For the volume, the calculation gives 16.96 A^3/atom.

The structure in CIF format:
```
data_ScInPt2
_cell_length_a 5.1314
_cell_length_b 5.1314
_cell_length_c 5.1314
_cell_angle_alpha 134.43
_cell_angle_beta 134.43
_cell_angle_gamma 66.42
_space_group_name_H-M_alt 'P 1'
_space_group_IT_number 1
_space_group_name_Hall 'P 1'
loop_
_atom_site_label
_atom_site_type_symbol
_atom_site_fract_x
_atom_site_fract_y
_atom_site_fract_z
_atom_site_occupancy
Sc1 Sc 0.0000 0.0000 0.0000 1
In1 In 0.7500 0.2500 0.5000 1
Pt1 Pt 0.2500 0.7500 0.5000 1
Pt2 Pt 0.5000 0.5000 0.0000 1
```

=====

(8)
# ScInPt2

ScInPt2 after structural relaxation (PBEsol, Alexandria via LeMat-Bulk).

Output
Its total energy is -0.49418 Ry/atom. Its symmetry is Amm2 (38). Its total magnetic moment is 0.00 μB/f.u. For the volume, the calculation gives 18.15 A^3/atom.

The structure in CIF format:
```
data_ScInPt2
_cell_length_a 4.2453
_cell_length_b 5.3257
_cell_length_c 5.3257
_cell_angle_alpha 37.08
_cell_angle_beta 90.00
_cell_angle_gamma 90.00
_space_group_name_H-M_alt 'P 1'
_space_group_IT_number 1
_space_group_name_Hall 'P 1'
loop_
_atom_site_label
_atom_site_type_symbol
_atom_site_fract_x
_atom_site_fract_y
_atom_site_fract_z
_atom_site_occupancy
Sc1 Sc 0.0000 0.0000 0.0000 1
In1 In 0.5000 0.7066 0.7066 1
Pt1 Pt 0.0000 0.2724 0.2724 1
Pt2 Pt 0.5000 0.4420 0.4420 1
```

=====

(9)
# ScIn2Pt

ScIn2Pt after structural relaxation (PBEsol, Alexandria via LeMat-Bulk).

Output
Its total energy is -0.39910 Ry/atom. Its symmetry is I-4m2 (119). Its total magnetic moment is 0.00 μB/f.u. For the volume, the calculation gives 19.07 A^3/atom.

The structure in CIF format:
```
data_ScIn2Pt
_cell_length_a 5.0778
_cell_length_b 5.0778
_cell_length_c 5.0778
_cell_angle_alpha 129.36
_cell_angle_beta 129.36
_cell_angle_gamma 74.44
_space_group_name_H-M_alt 'P 1'
_space_group_IT_number 1
_space_group_name_Hall 'P 1'
loop_
_atom_site_label
_atom_site_type_symbol
_atom_site_fract_x
_atom_site_fract_y
_atom_site_fract_z
_atom_site_occupancy
Sc1 Sc 0.0000 0.0000 0.0000 1
In1 In 0.5000 0.5000 0.0000 1
In2 In 0.7500 0.2500 0.5000 1
Pt1 Pt 0.2500 0.7500 0.5000 1
```

=====

(10)
# ScInPt

ScInPt after structural relaxation (PBEsol, Alexandria via LeMat-Bulk).

Output
Its total energy is -0.47419 Ry/atom. Its symmetry is P-62m (189). Its total magnetic moment is 0.00 μB/f.u. For the volume, the calculation gives 18.85 A^3/atom.

The structure in CIF format:
```
data_ScInPt
_cell_length_a 7.5539
_cell_length_b 7.5539
_cell_length_c 3.4331
_cell_angle_alpha 90.00
_cell_angle_beta 90.00
_cell_angle_gamma 120.00
_space_group_name_H-M_alt 'P 1'
_space_group_IT_number 1
_space_group_name_Hall 'P 1'
loop_
_atom_site_label
_atom_site_type_symbol
_atom_site_fract_x
_atom_site_fract_y
_atom_site_fract_z
_atom_site_occupancy
Sc1 Sc 0.0000 0.3965 0.0000 1
Sc2 Sc 0.3965 0.0000 0.0000 1
Sc3 Sc 0.6035 0.6035 0.0000 1
In1 In 0.0000 0.7245 0.5000 1
In2 In 0.2755 0.2755 0.5000 1
In3 In 0.7245 0.0000 0.5000 1
Pt1 Pt 0.0000 0.0000 0.0000 1
Pt2 Pt 0.3333 0.6667 0.5000 1
Pt3 Pt 0.6667 0.3333 0.5000 1
```

=====

(11)
# ScInPt

ScInPt after structural relaxation (PBEsol, Alexandria via LeMat-Bulk).

Output
Its total energy is -0.46172 Ry/atom. Its symmetry is I4mm (107). Its total magnetic moment is 0.00 μB/f.u. For the volume, the calculation gives 18.83 A^3/atom.

The structure in CIF format:
```
data_ScInPt
_cell_length_a 5.8635
_cell_length_b 5.8635
_cell_length_c 5.8635
_cell_angle_alpha 147.97
_cell_angle_beta 147.97
_cell_angle_gamma 45.92
_space_group_name_H-M_alt 'P 1'
_space_group_IT_number 1
_space_group_name_Hall 'P 1'
loop_
_atom_site_label
_atom_site_type_symbol
_atom_site_fract_x
_atom_site_fract_y
_atom_site_fract_z
_atom_site_occupancy
Sc1 Sc 0.0000 0.0000 0.0000 1
In1 In 0.6966 0.6966 0.0000 1
Pt1 Pt 0.3562 0.3562 0.0000 1
```

=====

(12)
# ScInPt2

ScInPt2 after structural relaxation (PBEsol, Alexandria via LeMat-Bulk).

Output
Its total energy is -0.48063 Ry/atom. Its symmetry is F-43m (216). Its total magnetic moment is 0.00 μB/f.u. For the volume, the calculation gives 17.14 A^3/atom.

The structure in CIF format:
```
data_ScInPt2
_cell_length_a 4.5939
_cell_length_b 4.5939
_cell_length_c 4.5939
_cell_angle_alpha 60.00
_cell_angle_beta 60.00
_cell_angle_gamma 60.00
_space_group_name_H-M_alt 'P 1'
_space_group_IT_number 1
_space_group_name_Hall 'P 1'
loop_
_atom_site_label
_atom_site_type_symbol
_atom_site_fract_x
_atom_site_fract_y
_atom_site_fract_z
_atom_site_occupancy
Sc1 Sc 0.0000 0.0000 0.0000 1
In1 In 0.2500 0.2500 0.2500 1
Pt1 Pt 0.5000 0.5000 0.5000 1
Pt2 Pt 0.7500 0.7500 0.7500 1
```